Record 1
# Cd2InTc, optimized geometry, DFT GGA-PBE
data_Cd2InTc
_chemical_formula_sum 'Cd2 In1 Tc1'
_space_group_name_H-M_alt 'P 4/m m m'
_space_group_IT_number 123
_space_group_name_Hall '-P 4 2'
_cell_length_a 4.176
_cell_length_b 4.176
_cell_length_c 4.437
_cell_angle_alpha 90.00
_cell_angle_beta 90.00
_cell_angle_gamma 90.00
loop_
_atom_site_label
_atom_site_fract_x
_atom_site_fract_y
_atom_site_fract_z
Cd1 0.000 0.500 0.000
In1 0.000 0.000 0.500
Tc1 0.500 0.500 0.500
# D(E_F) in states/eV/atom: 0.474
# Raw total energy in Ha/atom: -0.126
# Formation enthalpy at 0 K in eV per atom: 0.2932

=====

Record 2
# Li2Ac3Er2Tl4, optimized geometry, DFT GGA-PBE
data_Li2Ac3Er2Tl4
_chemical_formula_sum 'Li2 Ac3 Er2 Tl4'
_space_group_name_H-M_alt 'P -3 m 1'
_space_group_IT_number 164
_space_group_name_Hall '-P 3 2"'
_cell_length_a 5.1408
_cell_length_b 5.1408
_cell_length_c 15.4880
_cell_angle_alpha 90.00
_cell_angle_beta 90.00
_cell_angle_gamma 120.00
loop_
_atom_site_label
_atom_site_fract_x
_atom_site_fract_y
_atom_site_fract_z
Li1 0.3333 0.6667 0.1317
Ac1 0.0000 0.0000 0.0000
Ac2 0.0000 0.0000 0.2543
Er1 0.3333 0.6667 0.5706
Tl1 0.3333 0.6667 0.3684
Tl2 0.3333 0.6667 0.8736
# D(E_F) in states/eV/atom: 1.209
# Raw total energy in Ha/atom: -0.123
# Formation enthalpy at 0 K in eV per atom: -0.1869

=====

Record 3
# Ag3Te, optimized geometry, DFT GGA-PBE
data_Ag3Te
_chemical_formula_sum 'Ag12 Te4'
_space_group_name_H-M_alt 'F m -3 m'
_space_group_IT_number 225
_space_group_name_Hall '-F 4 2 3'
_cell_length_a 6.972
_cell_length_b 6.972
_cell_length_c 6.972
_cell_angle_alpha 90.00
_cell_angle_beta 90.00
_cell_angle_gamma 90.00
loop_
_atom_site_label
_atom_site_fract_x
_atom_site_fract_y
_atom_site_fract_z
Ag1 0.000 0.000 0.000
Ag2 0.250 0.250 0.250
Te1 0.000 0.000 0.500
# D(E_F) in states/eV/atom: 0.741
# Offset from the most stable computed form in meV per atom: 102
# ΔE_f (raw) in eV/atom: 0.13
# Raw total energy in Ha/atom: -0.103

=====

Record 4
# PPbAu2, optimized geometry, DFT GGA-PBE
data_PPbAu2
_chemical_formula_sum 'P1 Pb1 Au2'
_space_group_name_H-M_alt 'P 4 m m'
_space_group_IT_number 99
_space_group_name_Hall 'P 4 -2'
_cell_length_a 3.613
_cell_length_b 3.613
_cell_length_c 7.086
_cell_angle_alpha 90.00
_cell_angle_beta 90.00
_cell_angle_gamma 90.00
loop_
_atom_site_label
_atom_site_fract_x
_atom_site_fract_y
_atom_site_fract_z
P1 0.000 0.000 0.000
Pb1 0.500 0.500 0.437
Au1 0.000 0.000 0.662
Au2 0.500 0.500 0.025
# D(E_F) in states/eV/atom: 0.527
# Offset from the most stable computed form in meV per atom: 125
# Raw total energy in Ha/atom: -0.139
# Formation enthalpy at 0 K in eV per atom: 0.1286

=====

Record 5
# SrGePd2, optimized geometry, DFT GGA-PBE
data_SrGePd2
_chemical_formula_sum 'Sr4 Ge4 Pd8'
_space_group_name_H-M_alt 'I -4 2 d'
_space_group_IT_number 122
_space_group_name_Hall 'I -4 2bw'
_cell_length_a 5.171
_cell_length_b 5.171
_cell_length_c 16.265
_cell_angle_alpha 90.00
_cell_angle_beta 90.00
_cell_angle_gamma 90.00
loop_
_atom_site_label
_atom_site_fract_x
_atom_site_fract_y
_atom_site_fract_z
Sr1 0.000 0.000 0.000
Ge1 0.000 0.000 0.500
Pd1 0.030 0.250 0.625
# D(E_F) in states/eV/atom: 0.831
# Raw total energy in Ha/atom: -0.170
# Formation enthalpy at 0 K in eV per atom: -0.4521

=====

Record 6
# SrHf2MoIr, optimized geometry, DFT GGA-PBE
data_SrHf2MoIr
_chemical_formula_sum 'Sr1 Hf2 Mo1 Ir1'
_space_group_name_H-M_alt 'P 4/m m m'
_space_group_IT_number 123
_space_group_name_Hall '-P 4 2'
_cell_length_a 4.907
_cell_length_b 4.907
_cell_length_c 5.313
_cell_angle_alpha 90.00
_cell_angle_beta 90.00
_cell_angle_gamma 90.00
loop_
_atom_site_label
_atom_site_fract_x
_atom_site_fract_y
_atom_site_fract_z
Sr1 0.000 0.000 0.000
Hf1 0.000 0.500 0.500
Mo1 0.000 0.000 0.500
Ir1 0.500 0.500 0.000
# D(E_F) in states/eV/atom: 0.907
# Raw total energy in Ha/atom: -0.259
# Formation enthalpy at 0 K in eV per atom: 1.2022

=====

Record 7
# LaPr5DyHo2, optimized geometry, DFT GGA-PBE
data_LaPr5DyHo2
_chemical_formula_sum 'La4 Pr20 Dy4 Ho8'
_space_group_name_H-M_alt 'C m c 21'
_space_group_IT_number 36
_space_group_name_Hall 'C 2c -2'
_cell_length_a 5.762
_cell_length_b 20.497
_cell_length_c 10.741
_cell_angle_alpha 90.00
_cell_angle_beta 90.00
_cell_angle_gamma 90.00
loop_
_atom_site_label
_atom_site_fract_x
_atom_site_fract_y
_atom_site_fract_z
La1 0.000 0.085 0.000
Pr1 0.000 0.020 0.290
Pr2 0.000 0.115 0.572
Pr3 0.000 0.204 0.254
Pr4 0.000 0.220 0.863
Pr5 0.000 0.483 0.571
Dy1 0.000 0.302 0.560
Ho1 0.000 0.384 0.867
Ho2 0.000 0.386 0.283
# D(E_F) in states/eV/atom: 1.572
# Raw total energy in Ha/atom: -0.168
# Formation enthalpy at 0 K in eV per atom: 0.1463

=====

Record 8
# Mn2GaFeHg, optimized geometry, DFT GGA-PBE
data_Mn2GaFeHg
_chemical_formula_sum 'Mn2 Ga1 Fe1 Hg1'
_space_group_name_H-M_alt 'P 4/m m m'
_space_group_IT_number 123
_space_group_name_Hall '-P 4 2'
_cell_length_a 4.617
_cell_length_b 4.617
_cell_length_c 4.923
_cell_angle_alpha 90.00
_cell_angle_beta 90.00
_cell_angle_gamma 90.00
loop_
_atom_site_label
_atom_site_fract_x
_atom_site_fract_y
_atom_site_fract_z
Mn1 0.000 0.500 0.000
Ga1 0.000 0.000 0.000
Fe1 0.500 0.500 0.500
Hg1 0.000 0.000 0.500
# D(E_F) in states/eV/atom: 1.341
# Raw total energy in Ha/atom: -0.179
# Formation enthalpy at 0 K in eV per atom: 1.1609

=====

Record 9
# In12HgPb3, optimized geometry, DFT GGA-PBE
data_In12HgPb3
_chemical_formula_sum 'In12 Hg1 Pb3'
_space_group_name_H-M_alt 'P 4/m m m'
_space_group_IT_number 123
_space_group_name_Hall '-P 4 2'
_cell_length_a 4.685
_cell_length_b 4.685
_cell_length_c 20.339
_cell_angle_alpha 90.00
_cell_angle_beta 90.00
_cell_angle_gamma 90.00
loop_
_atom_site_label
_atom_site_fract_x
_atom_site_fract_y
_atom_site_fract_z
In1 0.000 0.000 0.000
In2 0.000 0.000 0.246
In3 0.000 0.000 0.500
In4 0.000 0.500 0.120
In5 0.000 0.500 0.374
Hg1 0.500 0.500 0.000
Pb1 0.500 0.500 0.246
Pb2 0.500 0.500 0.500
# D(E_F) in states/eV/atom: 0.520
# Raw total energy in Ha/atom: -0.100
# Formation enthalpy at 0 K in eV per atom: 0.0357

=====

Record 10
# TbPm3Th3Se8, optimized geometry, DFT GGA-PBE
data_TbPm3Th3Se8
_chemical_formula_sum 'Tb3 Pm9 Th9 Se24'
_space_group_name_H-M_alt 'R -3 m'
_space_group_IT_number 166
_space_group_name_Hall '-R 3 2"'
_cell_length_a 8.3355
_cell_length_b 8.3355
_cell_length_c 20.5628
_cell_angle_alpha 90.00
_cell_angle_beta 90.00
_cell_angle_gamma 120.00
loop_
_atom_site_label
_atom_site_fract_x
_atom_site_fract_y
_atom_site_fract_z
Tb1 0.0000 0.0000 0.0000
Pm1 0.0000 0.5000 0.5000
Th1 0.0000 0.5000 0.0000
Se1 0.0000 0.0000 0.2488
Se2 0.0004 0.5002 0.2496
# D(E_F) in states/eV/atom: 0.792
# ΔE_f (raw) in eV/atom: -1.74
# Raw total energy in Ha/atom: -0.233

=====

Record 11
# Ca2HoAu6, optimized geometry, DFT GGA-PBE
data_Ca2HoAu6
_chemical_formula_sum 'Ca4 Ho2 Au12'
_space_group_name_H-M_alt 'C 1 2/m 1'
_space_group_IT_number 12
_space_group_name_Hall '-C 2y'
_cell_length_a 5.296
_cell_length_b 15.984
_cell_length_c 5.285
_cell_angle_alpha 90.00
_cell_angle_beta 119.60
_cell_angle_gamma 90.00
loop_
_atom_site_label
_atom_site_fract_x
_atom_site_fract_y
_atom_site_fract_z
Ca1 0.000 0.167 0.000
Ho1 0.000 0.500 0.500
Au1 0.158 0.000 0.831
Au2 0.168 0.336 0.340
# D(E_F) in states/eV/atom: 0.351
# Raw total energy in Ha/atom: -0.141
# Formation enthalpy at 0 K in eV per atom: -0.6921

=====

Record 12
# K2SnGe3Pt4, optimized geometry, DFT GGA-PBE
data_K2SnGe3Pt4
_chemical_formula_sum 'K2 Sn1 Ge3 Pt4'
_space_group_name_H-M_alt 'P -4 m 2'
_space_group_IT_number 115
_space_group_name_Hall 'P -4 -2'
_cell_length_a 4.551
_cell_length_b 4.551
_cell_length_c 10.309
_cell_angle_alpha 90.00
_cell_angle_beta 90.00
_cell_angle_gamma 90.00
loop_
_atom_site_label
_atom_site_fract_x
_atom_site_fract_y
_atom_site_fract_z
K1 0.000 0.500 0.243
Sn1 0.000 0.000 0.500
Ge1 0.000 0.500 0.885
Ge2 0.500 0.500 0.500
Pt1 0.000 0.000 0.000
Pt2 0.000 0.500 0.637
Pt3 0.500 0.500 0.000
# D(E_F) in states/eV/atom: 0.651
# Raw total energy in Ha/atom: -0.179
# Formation enthalpy at 0 K in eV per atom: -0.4407